Below is a relaxed Nd8CuPt2 crystal, with properties calculated at the PBE level.

Structure (extended XYZ):
```
11
Lattice="6.261 0.118 -1.016 -1.964 6.924 -2.836 -0.118 -0.048 7.735" Properties=species:S:1:pos:R:3 pbc="T T T"
Nd 3.051 2.449 -0.962
Nd 3.538 0.608 1.828
Nd 0.343 2.527 1.607
Nd 5.633 1.543 4.467
Nd 4.576 5.534 -1.582
Nd 3.638 4.553 2.368
Nd 0.324 6.408 2.105
Nd 0.816 4.548 4.924
Pt 1.668 4.799 0.033
Pt 2.345 2.242 3.910
Cu 1.148 0.106 -0.130
```

Calculated values
Formation energy from the elements = -327 meV/atom
DOS at the Fermi energy = 1.2989 states/eV per atom
V = 335.4 Å³ per cell